## CaAc6CoPd (PBE)

Data for a relaxed CaAc6CoPd crystal. Values from VASP.

Structure (Quantum ESPRESSO input):
```
&SYSTEM
  ibrav = 0, nat = 9, ntyp = 4
/
ATOMIC_SPECIES
Ac 227.00 Ac.upf
Pd 106.42 Pd.upf
Co 58.93 Co.upf
Ca 40.08 Ca.upf
ATOMIC_POSITIONS crystal
Ac 0.5902 0.3930 0.7415
Ac 0.3928 0.5899 0.2584
Ac 0.0171 0.3929 0.2583
Ac 0.3928 0.0173 0.7416
Ac 0.0167 0.5903 0.7416
Ac 0.5903 0.0166 0.2585
Pd 0.6665 0.6667 0.5000
Co 0.3333 0.3333 0.5000
Ca 0.0000 0.0000 0.0000
CELL_PARAMETERS angstrom
7.7450 0.0030 0.0006
3.8751 6.7086 -0.0033
-0.0006 -0.0022 7.3080
```

Calculated values
formation energy from the elements	0.0111	eV per atom
DFT total energy	-38.851	eV/cell